[1]
DFT (GGA-PBE) results for crystalline HfV3Co at its relaxed geometry.

a b c (Å): 4.363 4.363 4.363
angles (deg): 90.00 90.00 90.00
Space group Pm-3m (No. 221)
Asymmetric unit:
Hf (0.000, 0.000, 0.000) x1
V (0.000, 0.500, 0.500) x3
Co (0.500, 0.500, 0.500) x1

- Crystal system: cubic
- ΔE_f: 0.56 eV/atom
- Total magnetic moment: 1.9 μB/f.u.

[2]
DFT (GGA-PBE) results for crystalline TaCuTe4 at its relaxed geometry.

a b c (Å): 17.042 5.461 8.921
angles (deg): 90.00 109.78 90.00
Space group C2/m (No. 12)
Asymmetric unit:
Ta (0.208, 0.000, 0.289) x4
Cu (0.112, 0.000, 0.692) x4
Te (0.071, 0.000, 0.383) x4
Te (0.120, 0.500, 0.656) x4
Te (0.126, 0.000, 0.989) x4
Te (0.233, 0.500, 0.354) x4

- Crystal system: monoclinic
- E_form (uncorrected): 38 meV/atom
- Total magnetic moment: 0.0 μB/f.u.

[3]
DFT (GGA-PBE) results for crystalline Pm12NdGe7 at its relaxed geometry.

a b c (Å): 15.1319 15.1319 8.6821
angles (deg): 90.00 90.00 120.00
Space group R-3m (No. 166, hexagonal axes)
Asymmetric unit:
Pm (0.0000, 0.2676, 0.0000) x18
Pm (0.1025, 0.2051, 0.3706) x18
Nd (0.0000, 0.0000, 0.0000) x3
Ge (0.0000, 0.0000, 0.5000) x3
Ge (0.1088, 0.2177, 0.7574) x18

- Crystal system: trigonal
- ΔE_f: -0.50 eV/atom
- Total magnetic moment: 0.0 μB/f.u.

[4]
DFT (GGA-PBE) results for crystalline Ac3GeI3 at its relaxed geometry.

a b c (Å): 9.767 12.899 10.441
angles (deg): 90.00 115.04 90.00
Space group C2/m (No. 12)
Asymmetric unit:
Ac (0.166, 0.000, 0.327) x4
Ac (0.175, 0.317, 0.293) x8
Ge (0.117, 0.000, 0.615) x4
I (0.000, 0.164, 0.000) x4
I (0.000, 0.340, 0.500) x4
I (0.100, 0.500, 0.869) x4

- Crystal system: monoclinic
- E_form (uncorrected): -802 meV/atom
- Total magnetic moment: 0.0 μB/f.u.

[5]
DFT (GGA-PBE) results for crystalline KB2Br8 at its relaxed geometry.

a b c (Å): 11.787 11.391 6.724
angles (deg): 90.00 96.73 90.00
Space group C2/m (No. 12)
Asymmetric unit:
K (0.000, 0.000, 0.000) x2
B (0.224, 0.000, 0.585) x4
Br (0.128, 0.500, 0.234) x4
Br (0.135, 0.147, 0.650) x8
Br (0.249, 0.500, 0.704) x4

- Crystal system: monoclinic
- E_form (uncorrected): -610 meV/atom
- Total magnetic moment: 1.1 μB/f.u.

[6]
DFT (GGA-PBE) results for crystalline DySnBi2 at its relaxed geometry.

a b c (Å): 4.234 4.234 6.594
angles (deg): 90.00 90.00 90.00
Space group P4/mmm (No. 123)
Asymmetric unit:
Dy (0.000, 0.000, 0.000) x1
Sn (0.000, 0.000, 0.500) x1
Bi (0.500, 0.500, 0.239) x2

- Crystal system: tetragonal
- ΔE_f: -0.35 eV/atom
- Total magnetic moment: 0.0 μB/f.u.

[7]
DFT (GGA-PBE) results for crystalline Pu12Ge6Ru at its relaxed geometry.

a b c (Å): 10.6818 10.6818 12.0285
angles (deg): 90.00 90.00 120.00
Space group R-3 (No. 148, hexagonal axes)
Asymmetric unit:
Pu (0.0455, 0.8626, 0.2934) x18
Pu (0.0614, 0.2250, 0.9032) x18
Ge (0.0497, 0.5950, 0.2109) x18
Ru (0.0000, 0.0000, 0.5000) x3

- Crystal system: trigonal
- ΔE_f: -0.24 eV/atom
- Total magnetic moment: 1.7 μB/f.u.